Record 1
# SrPrCd, relaxed, DFT GGA-PBE
data_SrPrCd
_chemical_formula_sum 'Sr1 Pr1 Cd1'
_space_group_name_H-M_alt 'P 3 m 1'
_space_group_IT_number 156
_cell_length_a 5.5541
_cell_length_b 5.5541
_cell_length_c 3.9453
_cell_angle_alpha 90.00
_cell_angle_beta 90.00
_cell_angle_gamma 120.00
loop_
_space_group_symop_operation_xyz
'x,y,z'
'-y,x-y,z'
'-x+y,-x,z'
'-y,-x,z'
'-x+y,y,z'
'x,x-y,z'
loop_
_atom_site_label
_atom_site_type_symbol
_atom_site_fract_x
_atom_site_fract_y
_atom_site_fract_z
_atom_site_occupancy
Sr1 Sr 0.0000 0.0000 0.0000 1
Pr1 Pr 0.6667 0.3333 0.5541 1
Cd1 Cd 0.3333 0.6667 0.3361 1
# - formation energy from the elements (kJ/mol of formula units) = -5
# - Fermi-level density of states (states/eV/f.u.) = 3.299
# - ΔE to the lowest computed polymorph (eV/atom) = 0.146

---

Record 2
# LiSeBr, relaxed, DFT GGA-PBE
data_LiSeBr
_chemical_formula_sum 'Li4 Se4 Br4'
_space_group_name_H-M_alt 'F m m 2'
_space_group_IT_number 42
_space_group_name_Hall 'F 2 -2'
_cell_length_a 4.0734
_cell_length_b 4.4525
_cell_length_c 16.0675
_cell_angle_alpha 90.00
_cell_angle_beta 90.00
_cell_angle_gamma 90.00
loop_
_atom_site_label
_atom_site_type_symbol
_atom_site_fract_x
_atom_site_fract_y
_atom_site_fract_z
_atom_site_occupancy
Li1 Li 0.0000 0.0000 0.0000 1
Se1 Se 0.0000 0.0000 0.6278 1
Br1 Br 0.0000 0.0000 0.3915 1
# - Fermi-level density of states (states/eV/f.u.) = 1.739
# - ΔE to the lowest computed polymorph (eV/atom) = 0.044

---

Record 3
# Pm3Sc, relaxed, DFT GGA-PBE
data_Pm3Sc
_chemical_formula_sum 'Pm6 Sc2'
_space_group_name_H-M_alt 'I 4/m m m'
_space_group_IT_number 139
_space_group_name_Hall '-I 4 2'
_cell_length_a 5.0454
_cell_length_b 5.0454
_cell_length_c 9.9590
_cell_angle_alpha 90.00
_cell_angle_beta 90.00
_cell_angle_gamma 90.00
loop_
_atom_site_label
_atom_site_type_symbol
_atom_site_fract_x
_atom_site_fract_y
_atom_site_fract_z
_atom_site_occupancy
Pm1 Pm 0.0000 0.0000 0.0000 1
Pm2 Pm 0.0000 0.5000 0.2500 1
Sc1 Sc 0.0000 0.0000 0.5000 1
# - formation energy from the elements (kJ/mol of formula units) = 16
# - Fermi-level density of states (states/eV/f.u.) = 5.864
# - ΔE to the lowest computed polymorph (eV/atom) = 0.004

---

Record 4
# BeFe2Pt, relaxed, DFT GGA-PBE
data_BeFe2Pt
_chemical_formula_sum 'Be4 Fe8 Pt4'
_space_group_name_H-M_alt 'I -4 2 d'
_space_group_IT_number 122
_space_group_name_Hall 'I -4 2bw'
_cell_length_a 3.3682
_cell_length_b 3.3682
_cell_length_c 17.8241
_cell_angle_alpha 90.00
_cell_angle_beta 90.00
_cell_angle_gamma 90.00
loop_
_atom_site_label
_atom_site_type_symbol
_atom_site_fract_x
_atom_site_fract_y
_atom_site_fract_z
_atom_site_occupancy
Be1 Be 0.0000 0.0000 0.0000 1
Fe1 Fe 0.2334 0.2500 0.1250 1
Pt1 Pt 0.0000 0.0000 0.5000 1
# - formation energy from the elements (kJ/mol of formula units) = 55
# - Fermi-level density of states (states/eV/f.u.) = 5.064

---

Record 5
# Mg5Cd2Ag2, relaxed, DFT GGA-PBE
data_Mg5Cd2Ag2
_chemical_formula_sum 'Mg20 Cd8 Ag8'
_space_group_name_H-M_alt 'C m c e'
_space_group_IT_number 64
_space_group_name_Hall '-C 2ac 2'
_cell_length_a 14.1708
_cell_length_b 7.5040
_cell_length_c 7.4657
_cell_angle_alpha 90.00
_cell_angle_beta 90.00
_cell_angle_gamma 90.00
loop_
_atom_site_label
_atom_site_type_symbol
_atom_site_fract_x
_atom_site_fract_y
_atom_site_fract_z
_atom_site_occupancy
Mg1 Mg 0.0000 0.0000 0.0000 1
Mg2 Mg 0.1262 0.1660 0.3317 1
Cd1 Cd 0.2103 0.0000 0.0000 1
Ag1 Ag 0.0000 0.1341 0.6328 1
# - formation energy from the elements (kJ/mol of formula units) = -58
# - Fermi-level density of states (states/eV/f.u.) = 3.820

---

Record 6
# RhPb2F, relaxed, DFT GGA-PBE
data_RhPb2F
_chemical_formula_sum 'Rh4 Pb8 F4'
_space_group_name_H-M_alt 'I -4 2 d'
_space_group_IT_number 122
_space_group_name_Hall 'I -4 2bw'
_cell_length_a 5.7770
_cell_length_b 5.7770
_cell_length_c 12.9303
_cell_angle_alpha 90.00
_cell_angle_beta 90.00
_cell_angle_gamma 90.00
loop_
_atom_site_label
_atom_site_type_symbol
_atom_site_fract_x
_atom_site_fract_y
_atom_site_fract_z
_atom_site_occupancy
Rh1 Rh 0.0000 0.0000 0.0000 1
Pb1 Pb 0.2392 0.2500 0.6250 1
F1 F 0.0000 0.0000 0.5000 1
# - Fermi-level density of states (states/eV/f.u.) = 2.440
# - ΔE to the lowest computed polymorph (eV/atom) = 0.092